Li2Cd2O3 (PBE, relaxed); raw total energy = -4.27 eV per atom; E_form (uncorrected) = -9.4 eV per formula unit
1.0
3.2610 0.0000 0.0000
0.0000 5.4386 -0.4027
-1.6305 -1.7891 5.0911
Li Cd O
2 2 3
direct
0.1773 0.3285 0.3547
0.8227 0.6715 0.6453
0.3915 0.1500 0.7829
0.6085 0.8500 0.2171
0.0000 0.0000 0.0000
0.2120 0.7059 0.4240
0.7880 0.2941 0.5760



Li2CdOsO6 (PBE, relaxed); raw total energy = -5.82 eV per atom; E_form (uncorrected) = -12.4 eV per formula unit
1.0
-3.0767 1.9484 -3.6918
-4.4095 -2.6607 2.2705
2.9915 3.5712 3.0186
Li Cd Os O
2 1 1 6
direct
0.1862 0.2538 0.5076
0.8138 0.7462 0.4924
0.5000 0.0000 0.0000
0.0000 0.5000 0.0000
0.3833 0.6966 0.3933
0.1282 0.1753 0.8217
0.8718 0.3536 0.1783
0.1282 0.6464 0.8217
0.8718 0.8247 0.1783
0.6167 0.3034 0.6067



Li2Cd2OsO6 (PBE, relaxed); raw total energy = -5.45 eV per atom; E_form (uncorrected) = -13.4 eV per formula unit
1.0
-2.2742 -3.4910 3.9381
5.6879 0.0481 -0.7168
-0.3686 4.4077 2.7207
Li Cd Os O
2 2 1 6
direct
0.8693 0.1307 0.0000
0.1307 0.8693 0.0000
0.3397 0.6603 0.5000
0.6603 0.3397 0.5000
0.0000 0.0000 0.5000
0.7834 0.7834 0.7303
0.0437 0.3280 0.7141
0.2166 0.2166 0.2697
0.3280 0.0437 0.7141
0.9563 0.6720 0.2859
0.6720 0.9563 0.2859



Li3Cd2OsO6 (PBE, relaxed); raw total energy = -5.40 eV per atom; E_form (uncorrected) = -16.2 eV per formula unit
1.0
5.7454 -0.1152 0.0558
-2.9710 4.9189 0.0558
-0.8779 -1.5201 4.9423
Li Cd Os O
3 2 1 6
direct
0.1313 0.8687 0.5000
0.8687 0.1313 0.5000
0.5000 0.5000 0.5000
0.3284 0.6716 0.0000
0.6716 0.3284 0.0000
0.0000 0.0000 0.0000
0.9272 0.6471 0.7606
0.7742 0.7742 0.2320
0.0728 0.3529 0.2394
0.6471 0.9272 0.7606
0.2258 0.2258 0.7680
0.3529 0.0728 0.2394



LiCdOs2O8 (PBE, relaxed); raw total energy = -6.44 eV per atom; E_form (uncorrected) = -12.3 eV per formula unit
1.0
5.1349 0.0000 0.0000
0.0000 5.1349 0.0000
-2.5674 -2.5674 5.9722
Li Cd Os O
1 1 2 8
direct
0.7500 0.2500 0.5000
0.0000 0.0000 0.0000
0.5000 0.5000 0.0000
0.2500 0.7500 0.5000
0.7498 0.8220 0.1529
0.4031 0.3309 0.1529
0.5723 0.6507 0.6476
0.0753 0.9968 0.6476
0.0032 0.4277 0.3524
0.3493 0.9247 0.3524
0.1780 0.5969 0.8471
0.6691 0.2502 0.8471



Li2CdPO4 (PBE, relaxed); raw total energy = -5.64 eV per atom; E_form (uncorrected) = -15.2 eV per formula unit
1.0
-2.0089 1.9739 -4.2379
1.8252 -3.9157 -2.6885
-3.0578 -0.9184 4.0760
Li Cd P O
2 1 1 4
direct
0.7500 0.2500 0.5001
0.2500 0.7500 0.5001
0.0001 0.0001 0.0001
0.5000 0.5000 0.0001
0.5508 0.5508 0.7503
0.4493 0.8005 0.2499
0.8005 0.4493 0.2499
0.1995 0.1995 0.7502